Record 1
# Mn2GaGe

A relaxed Mn2GaGe crystal (PBE-GGA, the Alexandria database).

Values from the calculation:
Magnetic moment   1.275 μB per atom
DFT formation energy   0.033 eV per atom
E   -6.463 eV/atom
Density   7.47 g/cm³
SG   Cm, No. 8
Calculated volume   14.018 Å³/atom

POSCAR file:
```
Mn2GaGe
1.0
2.832 0.004 -0.006
1.419 2.450 -0.006
1.401 0.809 8.084
Mn Ge Ga
2 1 1
Cartesian
1.411 0.815 2.005
1.407 0.812 6.074
2.834 1.636 -0.005
2.825 1.631 4.034
```

***

Record 2
# Mn5Ga2Ge

A relaxed Mn5Ga2Ge crystal (PBE-GGA, the Alexandria database).

Values from the calculation:
Magnetic moment   0.847 μB per atom
DFT formation energy   -0.008 eV per atom
E   -7.073 eV/atom
Density   8.27 g/cm³
SG   I4/mmm, No. 139
Calculated volume   12.217 Å³/atom

POSCAR file:
```
Mn5Ga2Ge
1.0
-2.002 -0.149 -3.604
3.249 1.717 -1.875
1.558 -6.001 1.743
Mn Ge Ga
5 1 2
Cartesian
0.624 0.784 -2.740
3.274 -3.086 -1.691
2.157 -0.415 -1.181
0.649 -4.019 -2.555
-0.469 -1.347 -2.045
0.000 0.000 0.000
1.119 -2.675 -0.511
1.687 -1.758 -3.225
```

***

Record 3
# Mn2GaGe

A relaxed Mn2GaGe crystal (PBE-GGA, the Alexandria database).

Values from the calculation:
Magnetic moment   0.693 μB per atom
DFT formation energy   0.035 eV per atom
E   -6.461 eV/atom
Density   8.21 g/cm³
SG   P4/mmm, No. 123
Calculated volume   12.748 Å³/atom

POSCAR file:
```
Mn2GaGe
1.0
2.927 0.000 0.000
0.000 2.927 0.000
0.000 0.000 5.952
Mn Ga Ge
2 1 1
Cartesian
0.000 0.000 1.555
0.000 0.000 4.397
1.463 1.463 0.000
1.463 1.463 2.976
```

***

Record 4
# MnGaGe

A relaxed MnGaGe crystal (PBE-GGA, the Alexandria database).

Values from the calculation:
Magnetic moment   1.007 μB per atom
DFT formation energy   0.070 eV per atom
Energy above the most stable polymorph in this dataset   181 meV per atom
E   -5.535 eV/atom
Density   6.35 g/cm³
SG   F-43m, No. 216
Calculated volume   17.189 Å³/atom

POSCAR file:
```
MnGaGe
1.0
-1.302 -3.780 -1.215
2.569 -2.507 -2.137
1.558 -3.428 1.811
Ga Ge Mn
1 1 1
Cartesian
0.000 0.000 0.000
1.413 -4.857 -0.771
0.706 -2.429 -0.385
```

***

Record 5
# MnGa2Ge4

A relaxed MnGa2Ge4 crystal (PBE-GGA, the Alexandria database).

Values from the calculation:
Magnetic moment   0.000 μB per atom
DFT formation energy   0.246 eV per atom
E   -4.568 eV/atom
Density   5.20 g/cm³
SG   I4/mmm, No. 139
Calculated volume   22.141 Å³/atom

POSCAR file:
```
MnGa2Ge4
1.0
4.384 0.000 0.000
0.000 4.384 0.000
2.192 2.192 8.063
Ge Mn Ga
4 1 2
Cartesian
2.192 2.192 5.693
0.000 2.192 0.000
2.192 0.000 0.000
4.384 4.384 2.370
0.000 0.000 0.000
2.192 2.192 3.123
4.384 4.384 4.939
```

***

Record 6
# MnGa2Ge

A relaxed MnGa2Ge crystal (PBE-GGA, the Alexandria database).

Values from the calculation:
Magnetic moment   0.917 μB per atom
DFT formation energy   0.231 eV per atom
E   -4.730 eV/atom
Density   6.19 g/cm³
SG   I-42d, No. 122
Calculated volume   17.906 Å³/atom

POSCAR file:
```
MnGa2Ge
1.0
7.388 0.000 0.000
0.000 7.388 0.000
3.694 3.694 2.624
Ga Mn Ge
4 2 2
Cartesian
5.596 1.847 0.656
9.236 9.290 1.968
1.793 5.541 0.656
5.541 5.487 1.968
3.694 7.388 1.312
3.694 3.694 0.000
7.388 3.694 1.312
0.000 0.000 0.000
```